No. 1
Below is a relaxed structure of HgAs2Pb, with properties calculated at the GGA-PBEsol level.

Output
Density of states at the Fermi level   1.61 states/eV/f.u.
VASP energy   -3.64 eV/atom
V   96.7 Å³/f.u.
Energy of formation from the pure elements   0.051 eV per atom
Magnetization   0.00 μB/f.u.
Density   9.58 g/cm³

a = 3.5774 Å, b = 3.5774 Å, c = 26.1717 Å
α = 90.00°, β = 90.00°, γ = 120.00°
With the nearest neighbours (Å) after each atom.
Space group R3m (No. 160, hexagonal axes)
One atom of each set of equivalent atoms:
Hg (0.0000, 0.0000, 0.0000) x3  3 As 3.06, 3 Pb 3.20
As (0.0000, 0.0000, 0.2470) x3  3 As 2.52
As (0.0000, 0.0000, 0.5253) x3  3 As 2.52
Pb (0.0000, 0.0000, 0.7602) x3  3 Hg 3.20, 3 As 3.30, 6 Pb 3.58

No. 2
Below is a relaxed structure of BeZn2Rh, with properties calculated at the GGA-PBEsol level.

Output
Density of states at the Fermi level   0.84 states/eV/f.u.
VASP energy   -4.08 eV/atom
V   48.7 Å³/f.u.
Energy of formation from the pure elements   -0.253 eV per atom
Magnetization   0.00 μB/f.u.
Density   8.28 g/cm³

a = 3.6157 Å, b = 2.7260 Å, c = 9.8801 Å
α = 90.00°, β = 90.00°, γ = 90.00°
With the nearest neighbours (Å) after each atom.
Space group Amm2 (No. 38)
One atom of each set of equivalent atoms:
Be (0.0000, 0.0000, 0.0000) x2  3 Zn 2.27-2.32, 4 Rh 2.40
Zn (0.0000, 0.0000, 0.2302) x2  1 Be 2.27
Zn (0.5000, 0.0000, 0.8530) x2  2 Be 2.32, 4 Zn 2.57
Rh (0.5000, 0.0000, 0.5809) x2  4 Be 2.40, 3 Zn 2.63-2.69

No. 3
Below is a relaxed structure of Sc2AsBr, with properties calculated at the GGA-PBEsol level.

Output
Raw formation energy   -1155.6 meV per atom
Density of states at the Fermi level   2.09 states/eV/f.u.
VASP energy   -6.20 eV/atom
V   79.9 Å³/f.u.
Magnetization   0.00 μB/f.u.
Density   5.09 g/cm³

a = 3.8382 Å, b = 3.8382 Å, c = 5.4241 Å
α = 90.00°, β = 90.00°, γ = 90.00°
With the nearest neighbours (Å) after each atom.
Space group P4/mmm (No. 123)
One atom of each set of equivalent atoms:
Sc (0.0000, 0.0000, 0.0000) x1  2 As 2.71, 4 Br 2.71
Sc (0.5000, 0.5000, 0.5000) x1  2 Br 2.71, 4 As 2.71
As (0.0000, 0.0000, 0.5000) x1  6 Sc 2.71
Br (0.5000, 0.5000, 0.0000) x1  6 Sc 2.71

No. 4
Below is a relaxed structure of Sr2HgW, with properties calculated at the GGA-PBEsol level.

Output
Density of states at the Fermi level   4.01 states/eV/f.u.
VASP energy   -3.77 eV/atom
V   106.6 Å³/f.u.
Energy of formation from the pure elements   0.746 eV per atom
Magnetization   0.00 μB/f.u.
Density   8.71 g/cm³

a = 3.2379 Å, b = 3.2379 Å, c = 10.1723 Å
α = 90.00°, β = 90.00°, γ = 90.00°
With the nearest neighbours (Å) after each atom.
Space group P4mm (No. 99)
One atom of each set of equivalent atoms:
Sr (0.0000, 0.0000, 0.0000) x1  4 Sr 3.24, 4 Hg 3.28
Sr (0.5000, 0.5000, 0.3603) x1  4 Sr 3.24, 4 W 3.28
Hg (0.5000, 0.5000, 0.7694) x1  4 W 2.92, 4 Hg 3.24
W (0.0000, 0.0000, 0.5917) x1  4 Hg 2.92, 4 W 3.24

No. 5
Below is a relaxed structure of In3SiW, with properties calculated at the GGA-PBEsol level.

Output
Raw formation energy   1504.7 meV per atom
Density of states at the Fermi level   3.54 states/eV/f.u.
VASP energy   -4.20 eV/atom
V   126.7 Å³/f.u.
Magnetization   3.62 μB/f.u.
Density   7.29 g/cm³

a = 5.0229 Å, b = 5.0229 Å, c = 5.0229 Å
α = 90.00°, β = 90.00°, γ = 90.00°
With the nearest neighbours (Å) after each atom.
Space group Pm-3m (No. 221)
One atom of each set of equivalent atoms:
In (0.0000, 0.0000, 0.5000) x3  2 Si 2.51
Si (0.0000, 0.0000, 0.0000) x1  6 In 2.51
W (0.5000, 0.5000, 0.5000) x1  12 In 3.55

No. 6
Below is a relaxed structure of Al2MoCl, with properties calculated at the GGA-PBEsol level.

Output
Raw formation energy   49.3 meV per atom
Density of states at the Fermi level   2.22 states/eV/f.u.
VASP energy   -5.44 eV/atom
V   65.8 Å³/f.u.
Magnetization   0.00 μB/f.u.
Density   4.68 g/cm³

a = 4.8481 Å, b = 4.8481 Å, c = 2.7978 Å
α = 90.00°, β = 90.00°, γ = 90.00°
With the nearest neighbours (Å) after each atom.
Space group P4/mmm (No. 123)
One atom of each set of equivalent atoms:
Al (0.0000, 0.5000, 0.0000) x2  2 Al 2.80, 4 Cl 2.80, 4 Mo 2.80
Mo (0.0000, 0.0000, 0.5000) x1  2 Mo 2.80, 8 Al 2.80
Cl (0.5000, 0.5000, 0.5000) x1  2 Cl 2.80, 8 Al 2.80